First-principles (GGA+U) data for a relaxed AlFeP2O crystal, as listed in Alexandria.

a b c (Å): 4.7533 4.7533 3.5341
angles (deg): 90.00 90.00 90.00
Last column: nearest neighbours and their distance in Å.
Positions (direct):
P  0.0000  0.5000  0.0000  2 Fe 2.38
P  0.5000  0.0000  0.0000  2 Fe 2.38
Fe  0.0000  0.0000  0.0000  2 O 1.77
Al  0.5000  0.5000  0.5000  8 P 2.96
O  0.0000  0.0000  0.5000  2 Fe 1.77

## Properties
The value obtained for the distance to the lowest polymorph of the same formula is 312 meV per atom. The calculation puts the density of states at the Fermi level at 0.4914 states/eV per atom. Its raw total energy is -4.78 eV/atom.